Entry from Alexandria: an optimized crystal structure of HfV2PF (GGA+U).

Properties
Total energy   -0.220 hartree per atom
Magnetic moment   5.20 μB per formula unit

a b c (Å): 4.865 3.767 4.865
angles (deg): 90.00 90.00 90.00
Last column: magnetic moment on the atom in μB.
Positions (direct):
V 0.500 0.000 0.000  2.18
F 0.000 0.500 0.000  0.06
Hf 0.500 0.500 0.500  0.03
V 0.000 0.000 0.500  2.30
P 0.000 0.000 0.000  -0.12